Entry 1:
Entry from the Alexandria database: a relaxed LiTaV2 crystal (PBE).

Computed properties:
Symmetry: Fm-3m, No. 225
Total moment: 0.000 μB/f.u.
Distance to the lowest polymorph of the same formula: 0.000 eV/f.u.
Formation energy from the elements: 1.70 eV/f.u.
DOS at the Fermi energy: 5.44 states/eV per cell

Lattice parameters (Å, degrees): 4.3754 4.3754 4.3754 60.00 60.00 60.00
Closest atoms and distances in Å follow each position.
Sites, in units of the cell vectors:
1 V 0.2500 0.2500 0.2500  4 Ta 2.68, 4 Li 2.68
2 V 0.7500 0.7500 0.7500  4 Ta 2.68, 4 Li 2.68
3 Ta 0.5000 0.5000 0.5000  8 V 2.68
4 Li 0.0000 0.0000 0.0000  8 V 2.68

=====

Entry 2:
Entry from the Alexandria database: a relaxed BaV2As2 crystal (PBE).

Computed properties:
Symmetry: I4/mmm, No. 139
Total moment: 0.000 μB/f.u.
Distance to the lowest polymorph of the same formula: 0.000 eV/f.u.
Formation energy from the elements: -3.37 eV/f.u.
DOS at the Fermi energy: 3.38 states/eV per cell

Lattice parameters (Å, degrees): 3.9102 3.9102 7.5649 75.02 75.02 90.00
Closest atoms and distances in Å follow each position.
Sites, in units of the cell vectors:
1 As 0.6378 0.6378 0.7243  4 V 2.51
2 As 0.3622 0.3622 0.2757  4 V 2.51
3 Ba 0.0000 0.0000 0.0000  8 As 3.38
4 V 0.7500 0.2500 0.5000  4 As 2.51, 4 V 2.76
5 V 0.2500 0.7500 0.5000  4 As 2.51, 4 V 2.76

=====

Entry 3:
Entry from the Alexandria database: a relaxed CsRbI2 crystal (PBE).

Computed properties:
Symmetry: Fm-3m, No. 225
Total moment: 0.000 μB/f.u.
Distance to the lowest polymorph of the same formula: 0.174 eV/f.u.
Formation energy (no corrections): -1.4794 eV/atom
DOS at the Fermi energy: 0.00 states/eV per cell

Lattice parameters (Å, degrees): 6.4728 6.4728 6.4728 60.00 60.00 60.00
Closest atoms and distances in Å follow each position.
Sites, in units of the cell vectors:
1 Rb 0.5000 0.5000 0.5000  8 I 3.96
2 Cs 0.0000 0.0000 0.0000  8 I 3.96
3 I 0.7500 0.7500 0.7500  4 Rb 3.96, 4 Cs 3.96
4 I 0.2500 0.2500 0.2500  4 Cs 3.96, 4 Rb 3.96